First-principles (PBE) data for a relaxed structure of NaEr2NpO8, as listed in Alexandria via LeMat-Bulk.

Cell: 4.452 6.948 5.479 Å, 90.00 90.49 90.00°
Sites, in units of the cell vectors:
Na 0.000 0.000 0.000
Er 0.500 0.260 0.500
Er 0.500 0.740 0.500
Np 0.000 0.500 0.000
O 0.160 0.000 0.548
O 0.230 0.289 0.152
O 0.230 0.711 0.152
O 0.268 0.500 0.673
O 0.732 0.500 0.327
O 0.770 0.289 0.848
O 0.770 0.711 0.848
O 0.840 0.000 0.452

Calculated values
Size of the total moment   0.00 μB per formula unit
Space group   P2/m (10)
Crystal system   monoclinic
E   -94.03 eV per cell
ΔE_f (raw)   -2.58 eV per atom